Record 1
VASP calculation (GGA-PBE) on a relaxed structure of Pr7CoI12.

Values from the calculation:
Raw total energy, eV for the cell shown: -83.7
Space group: R-3

Unit cell a=10.0396 b=10.0396 c=10.0396 alpha=107.26 beta=107.26 gamma=107.26
Atoms (fractional coordinates):
1 Pr 0.0000 0.0000 0.0000
2 Pr 0.1989 0.4004 0.4707
3 Pr 0.4004 0.4707 0.1989
4 Pr 0.4707 0.1989 0.4004
5 Pr 0.5293 0.8011 0.5996
6 Pr 0.5996 0.5293 0.8011
7 Pr 0.8011 0.5996 0.5293
8 Co 0.5000 0.5000 0.5000
9 I 0.0286 0.3428 0.1090
10 I 0.1090 0.0286 0.3428
11 I 0.1830 0.7283 0.5750
12 I 0.2717 0.4250 0.8170
13 I 0.3428 0.1090 0.0286
14 I 0.4250 0.8170 0.2717
15 I 0.5750 0.1830 0.7283
16 I 0.6572 0.8910 0.9714
17 I 0.7283 0.5750 0.1830
18 I 0.8170 0.2717 0.4250
19 I 0.8910 0.9714 0.6572
20 I 0.9714 0.6572 0.8910

---

Record 2
VASP calculation (GGA-PBE) on a relaxed structure of Pr7CoI12.

Values from the calculation:
Raw total energy, eV for the cell shown: -83.7
Space group: R-3

Unit cell a=10.0394 b=10.0394 c=10.0394 alpha=107.26 beta=107.26 gamma=107.26
Atoms (fractional coordinates):
1 Pr 0.0000 0.0000 0.0000
2 Pr 0.1988 0.4004 0.4705
3 Pr 0.4004 0.4705 0.1988
4 Pr 0.4705 0.1988 0.4004
5 Pr 0.5295 0.8012 0.5996
6 Pr 0.5996 0.5295 0.8012
7 Pr 0.8012 0.5996 0.5295
8 Co 0.5000 0.5000 0.5000
9 I 0.0282 0.3427 0.1088
10 I 0.1088 0.0282 0.3427
11 I 0.1832 0.7284 0.5750
12 I 0.2716 0.4250 0.8168
13 I 0.3427 0.1088 0.0282
14 I 0.4250 0.8168 0.2716
15 I 0.5750 0.1832 0.7284
16 I 0.6573 0.8912 0.9718
17 I 0.7284 0.5751 0.1832
18 I 0.8168 0.2716 0.4250
19 I 0.8912 0.9718 0.6573
20 I 0.9718 0.6573 0.8912

---

Q: raw total energy of number 2 (Pr7CoI12)?
A: -83.7 eV for the cell shown

---

Copy entry 2 word for word.
VASP calculation (GGA-PBE) on a relaxed structure of Pr7CoI12.

Values from the calculation:
Raw total energy, eV for the cell shown: -83.7
Space group: R-3

Unit cell a=10.0394 b=10.0394 c=10.0394 alpha=107.26 beta=107.26 gamma=107.26
Atoms (fractional coordinates):
1 Pr 0.0000 0.0000 0.0000
2 Pr 0.1988 0.4004 0.4705
3 Pr 0.4004 0.4705 0.1988
4 Pr 0.4705 0.1988 0.4004
5 Pr 0.5295 0.8012 0.5996
6 Pr 0.5996 0.5295 0.8012
7 Pr 0.8012 0.5996 0.5295
8 Co 0.5000 0.5000 0.5000
9 I 0.0282 0.3427 0.1088
10 I 0.1088 0.0282 0.3427
11 I 0.1832 0.7284 0.5750
12 I 0.2716 0.4250 0.8168
13 I 0.3427 0.1088 0.0282
14 I 0.4250 0.8168 0.2716
15 I 0.5750 0.1832 0.7284
16 I 0.6573 0.8912 0.9718
17 I 0.7284 0.5751 0.1832
18 I 0.8168 0.2716 0.4250
19 I 0.8912 0.9718 0.6573
20 I 0.9718 0.6573 0.8912

---

Q: Which formula does entry 2 have?
A: Pr7CoI12